Below is a relaxed K3ThNb2O9 crystal, with properties calculated at the PBE level.

Properties
Its total magnetization is 1.1 μB per formula unit. The density comes out at 4.909 g/cm³. The total energy comes out at -7.520 eV per atom.

a = 5.9804 Å, b = 5.9804 Å, c = 7.4175 Å
α = 90.00°, β = 90.00°, γ = 120.00°
Last column: nearest neighbours and their distance in Å.
Space group P-3m1 (No. 164)
Unique sites:
1 K 0.0000 0.0000 0.0000 x1  12 O 2.95-2.99
2 K 0.3333 0.6667 0.6831 x2  12 O 2.92-3.19
3 Th 0.0000 0.0000 0.5000 x1  6 O 2.30
4 Nb 0.3333 0.6667 0.1621 x2  6 O 1.97-2.10
5 O 0.0000 0.5000 0.0000 x3  2 Nb 2.10
6 O 0.1767 0.3534 0.3121 x6  1 Nb 1.97